Record 1
DFT (GGA-PBEsol) results for Ba3ZnB after structural relaxation.

Geometry as CIF:
```
data_Ba3ZnB
_cell_length_a 6.109
_cell_length_b 6.109
_cell_length_c 6.109
_cell_angle_alpha 90.00
_cell_angle_beta 90.00
_cell_angle_gamma 90.00
_space_group_name_H-M_alt 'P m -3 m'
_space_group_IT_number 221
_space_group_name_Hall '-P 4 2 3'
loop_
_atom_site_label
_atom_site_fract_x
_atom_site_fract_y
_atom_site_fract_z
Ba1 0.000 0.000 0.500
Zn1 0.000 0.000 0.000
B1 0.500 0.500 0.500
```

## Properties
Crystal system: cubic

Record 2
DFT (GGA-PBEsol) results for BaZnB3 after structural relaxation.

Geometry as CIF:
```
data_BaZnB3
_cell_length_a 4.306
_cell_length_b 4.306
_cell_length_c 4.306
_cell_angle_alpha 90.00
_cell_angle_beta 90.00
_cell_angle_gamma 90.00
_space_group_name_H-M_alt 'P m -3 m'
_space_group_IT_number 221
_space_group_name_Hall '-P 4 2 3'
loop_
_atom_site_label
_atom_site_fract_x
_atom_site_fract_y
_atom_site_fract_z
Ba1 0.000 0.000 0.000
Zn1 0.500 0.500 0.500
B1 0.000 0.500 0.500
```

## Properties
Crystal system: cubic

Record 3
DFT (GGA-PBEsol) results for Ba3ZrB after structural relaxation.

Geometry as CIF:
```
data_Ba3ZrB
_cell_length_a 5.801
_cell_length_b 5.801
_cell_length_c 5.801
_cell_angle_alpha 90.00
_cell_angle_beta 90.00
_cell_angle_gamma 90.00
_space_group_name_H-M_alt 'P m -3 m'
_space_group_IT_number 221
_space_group_name_Hall '-P 4 2 3'
loop_
_atom_site_label
_atom_site_fract_x
_atom_site_fract_y
_atom_site_fract_z
Ba1 0.000 0.000 0.500
Zr1 0.500 0.500 0.500
B1 0.000 0.000 0.000
```

## Properties
Crystal system: cubic

Record 4
DFT (GGA-PBEsol) results for Be4B after structural relaxation.

Geometry as CIF:
```
data_Be4B
_cell_length_a 3.341
_cell_length_b 3.341
_cell_length_c 6.986
_cell_angle_alpha 90.00
_cell_angle_beta 90.00
_cell_angle_gamma 90.00
_space_group_name_H-M_alt 'P 4/n m m'
_space_group_IT_number 129
loop_
_space_group_symop_operation_xyz
'x,y,z'
'-x,-y,-z'
'-y+1/2,x,z'
'y+1/2,-x,-z'
'-x+1/2,-y+1/2,z'
'x+1/2,y+1/2,-z'
'y,-x+1/2,z'
'-y,x+1/2,-z'
'x+1/2,-y,-z'
'-x+1/2,y,z'
'-y,-x,-z'
'y,x,z'
'-x,y+1/2,-z'
'x,-y+1/2,z'
'y+1/2,x+1/2,-z'
'-y+1/2,-x+1/2,z'
loop_
_atom_site_label
_atom_site_fract_x
_atom_site_fract_y
_atom_site_fract_z
Be1 0.250 0.250 0.019
Be2 0.250 0.750 0.195
Be3 0.250 0.750 0.500
B1 0.250 0.250 0.331
```

## Properties
Crystal system: tetragonal

Record 5
DFT (GGA-PBEsol) results for BeBi2B after structural relaxation.

Geometry as CIF:
```
data_BeBi2B
_cell_length_a 5.689
_cell_length_b 5.689
_cell_length_c 10.970
_cell_angle_alpha 90.00
_cell_angle_beta 90.00
_cell_angle_gamma 90.00
_space_group_name_H-M_alt 'I -4 2 d'
_space_group_IT_number 122
_space_group_name_Hall 'I -4 2bw'
loop_
_atom_site_label
_atom_site_fract_x
_atom_site_fract_y
_atom_site_fract_z
Be1 0.000 0.000 0.000
Bi1 0.233 0.250 0.625
B1 0.000 0.000 0.500
```

## Properties
Crystal system: tetragonal

Record 6
DFT (GGA-PBEsol) results for BeBiB3 after structural relaxation.

Geometry as CIF:
```
data_BeBiB3
_cell_length_a 3.943
_cell_length_b 3.943
_cell_length_c 3.943
_cell_angle_alpha 90.00
_cell_angle_beta 90.00
_cell_angle_gamma 90.00
_space_group_name_H-M_alt 'P m -3 m'
_space_group_IT_number 221
_space_group_name_Hall '-P 4 2 3'
loop_
_atom_site_label
_atom_site_fract_x
_atom_site_fract_y
_atom_site_fract_z
Be1 0.000 0.000 0.000
Bi1 0.500 0.500 0.500
B1 0.000 0.000 0.500
```

## Properties
Crystal system: cubic

no.,ΔH_f (0 K) (eV per atom),energy (eV/atom),size of the total moment (μB/cell)
1,1.005,-2.0040,2.45
2,1.375,-3.5809,0.00
3,0.952,-3.5589,3.99
4,-0.015,-4.6178,0.00
5,0.658,-4.2392,0.00
6,1.594,-4.2726,0.00